1.
BaV2SeO8: relaxed, PBE+U.

Computed properties:
* magnetization: 0.0 μB per cell
* polymorph energy (0 for the lowest one): 7.9 kJ per mole of atoms
* SG: C2/m (12)

Cell lengths 5.2471, 5.2471, 7.7936 Å; angles 92.82, 92.82, 65.93 degrees
Atoms (fractional coordinates):
Ba 0.0000 0.0000 0.0000
V 0.3700 0.3700 0.7060
V 0.6300 0.6300 0.2940
Se 0.0000 0.0000 0.5000
O 0.2248 0.2248 0.5458
O 0.2254 0.7408 0.6905
O 0.2592 0.7746 0.3095
O 0.3050 0.3050 0.9055
O 0.6950 0.6950 0.0945
O 0.7408 0.2254 0.6905
O 0.7746 0.2592 0.3095
O 0.7752 0.7752 0.4542

=====

2.
BaVSeO2: relaxed, PBE+U.

Computed properties:
* DFT total energy: -64.46 eV for the cell shown
* magnetization: 2.0 μB per cell
* SG: Cmcm (63)

Cell lengths 6.5573, 6.5573, 7.5872 Å; angles 90.00, 90.00, 144.95 degrees
Atoms (fractional coordinates):
Ba 0.2257 0.7743 0.7500
Ba 0.7743 0.2257 0.2500
V 0.5000 0.5000 0.0000
V 0.5000 0.5000 0.5000
Se 0.0428 0.9572 0.2500
Se 0.9572 0.0428 0.7500
O 0.3598 0.6402 0.0435
O 0.3598 0.6402 0.4565
O 0.6402 0.3598 0.5435
O 0.6402 0.3598 0.9565

=====

> magnetization of number 2 (BaVSeO2)?

2.0 μB per cell

=====

Repeat the first record exactly.
BaV2SeO8: relaxed, PBE+U.

Computed properties:
* magnetization: 0.0 μB per cell
* polymorph energy (0 for the lowest one): 7.9 kJ per mole of atoms
* SG: C2/m (12)

Cell lengths 5.2471, 5.2471, 7.7936 Å; angles 92.82, 92.82, 65.93 degrees
Atoms (fractional coordinates):
Ba 0.0000 0.0000 0.0000
V 0.3700 0.3700 0.7060
V 0.6300 0.6300 0.2940
Se 0.0000 0.0000 0.5000
O 0.2248 0.2248 0.5458
O 0.2254 0.7408 0.6905
O 0.2592 0.7746 0.3095
O 0.3050 0.3050 0.9055
O 0.6950 0.6950 0.0945
O 0.7408 0.2254 0.6905
O 0.7746 0.2592 0.3095
O 0.7752 0.7752 0.4542

=====

What did the first record say?
BaV2SeO8: relaxed, PBE+U.

Computed properties:
* magnetization: 0.0 μB per cell
* polymorph energy (0 for the lowest one): 7.9 kJ per mole of atoms
* SG: C2/m (12)

Cell lengths 5.2471, 5.2471, 7.7936 Å; angles 92.82, 92.82, 65.93 degrees
Atoms (fractional coordinates):
Ba 0.0000 0.0000 0.0000
V 0.3700 0.3700 0.7060
V 0.6300 0.6300 0.2940
Se 0.0000 0.0000 0.5000
O 0.2248 0.2248 0.5458
O 0.2254 0.7408 0.6905
O 0.2592 0.7746 0.3095
O 0.3050 0.3050 0.9055
O 0.6950 0.6950 0.0945
O 0.7408 0.2254 0.6905
O 0.7746 0.2592 0.3095
O 0.7752 0.7752 0.4542

=====

> The highest magnetization belongs to which entry?

BaVSeO2